Entry a
A geometry-optimized Tb4Tm3Sc2 structure. Source: Alexandria, functional GGA-PBE.

Output
Density of states at the Fermi level (states/eV/f.u.): 13.2

a = 5.8633 Å, b = 9.8760 Å, c = 9.8760 Å
α = 69.78°, β = 84.31°, γ = 84.31°
Atoms (fractional coordinates):
Tb  0.5455  0.0478  0.8215
Tb  0.9545  0.1785  0.9522
Tb  0.4545  0.9522  0.1785
Tb  0.0455  0.8215  0.0478
Tb  0.6048  0.8275  0.6154
Tb  0.8952  0.3846  0.1725
Tb  0.3952  0.1725  0.3846
Tb  0.1048  0.6154  0.8275
Tm  0.0770  0.9843  0.6753
Tm  0.4230  0.3247  0.0157
Tm  0.9230  0.0157  0.3247
Tm  0.5770  0.6753  0.9843
Tm  0.2500  0.3567  0.6433
Tm  0.7500  0.6433  0.3567
Sc  0.2014  0.7105  0.4874
Sc  0.2986  0.5126  0.2895
Sc  0.7986  0.2895  0.5126
Sc  0.7014  0.4874  0.7105

Entry b
A geometry-optimized Tb4Tm3Sc2 structure. Source: Alexandria, functional GGA-PBE.

Output
Density of states at the Fermi level (states/eV/f.u.): 13.1

a = 6.8595 Å, b = 9.5048 Å, c = 9.5048 Å
α = 59.35°, β = 89.97°, γ = 89.97°
Atoms (fractional coordinates):
Tb  0.4998  0.8501  0.1847
Tb  0.0002  0.8153  0.1499
Tb  0.5002  0.1499  0.8153
Tb  0.9998  0.1847  0.8501
Tb  0.9994  0.1598  0.5214
Tb  0.5006  0.4786  0.8402
Tb  0.0006  0.8402  0.4786
Tb  0.4994  0.5214  0.1598
Tm  0.7499  0.1726  0.1732
Tm  0.7501  0.8268  0.8274
Tm  0.2501  0.8274  0.8268
Tm  0.2499  0.1732  0.1726
Tm  0.2500  0.4997  0.5003
Tm  0.7500  0.5003  0.4997
Sc  0.4995  0.1720  0.4766
Sc  0.0005  0.5234  0.8280
Sc  0.5005  0.8280  0.5234
Sc  0.9995  0.4766  0.1720

The most stable of them is entry b.

Entry a
A geometry-optimized Tb6TmSc2 structure. Source: Alexandria, functional GGA-PBE.

Output
Density of states at the Fermi level (states/eV/f.u.): 16.0

a = 5.5100 Å, b = 11.6333 Å, c = 11.6333 Å
α = 48.28°, β = 103.67°, γ = 103.67°
Atoms (fractional coordinates):
Tb  0.8283  0.5028  0.6691
Tb  0.6717  0.3309  0.4972
Tb  0.1717  0.4972  0.3309
Tb  0.3283  0.6691  0.5028
Tb  0.9201  0.9200  0.4199
Tb  0.5799  0.5801  0.0800
Tb  0.0799  0.0800  0.5801
Tb  0.4201  0.4199  0.9200
Tb  0.1558  0.8304  0.9977
Tb  0.3442  0.0023  0.1696
Tb  0.8442  0.1696  0.0023
Tb  0.6558  0.9977  0.8304
Tm  0.2500  0.2498  0.7502
Tm  0.7500  0.7502  0.2498
Sc  0.0054  0.6666  0.8334
Sc  0.4946  0.1666  0.3334
Sc  0.9946  0.3334  0.1666
Sc  0.5054  0.8334  0.6666

Entry b
A geometry-optimized Tb6TmSc2 structure. Source: Alexandria, functional GGA-PBE.

Output
Density of states at the Fermi level (states/eV/f.u.): 9.9

a = 6.5285 Å, b = 9.3120 Å, c = 9.3120 Å
α = 88.09°, β = 79.15°, γ = 79.15°
Atoms (fractional coordinates):
Tb  0.5007  0.6168  0.3289
Tb  0.9993  0.6711  0.3832
Tb  0.4993  0.3832  0.6711
Tb  0.0007  0.3289  0.6168
Tb  0.7335  0.0499  0.4615
Tb  0.7665  0.5385  0.9501
Tb  0.2665  0.9501  0.5385
Tb  0.2335  0.4615  0.0499
Tb  0.3138  0.7915  0.9696
Tb  0.1862  0.0304  0.2085
Tb  0.6862  0.2085  0.0304
Tb  0.8138  0.9696  0.7915
Tm  0.2500  0.1388  0.8612
Tm  0.7500  0.8612  0.1388
Sc  0.1257  0.6555  0.7106
Sc  0.3743  0.2894  0.3445
Sc  0.8743  0.3445  0.2894
Sc  0.6257  0.7106  0.6555

The most stable of them is entry a.